#a
The following is a PBE-GGA calculation of a relaxed structure of LaTi2Ga2, from Alexandria via LeMat-Bulk.

Cell and atoms, written as POSCAR:
```
LaTi2Ga2
1.0
8.176 0.000 0.000
0.000 8.176 0.000
0.000 0.000 2.929
La Ti Ga
2 4 4
Cartesian
0.000 0.000 0.000
4.088 4.088 0.000
0.989 3.099 0.000
3.099 7.187 0.000
5.077 0.989 0.000
7.187 5.077 0.000
1.401 5.489 1.465
2.687 1.401 1.465
5.489 6.776 1.465
6.776 2.687 1.465
```

#b
The following is a PBE-GGA calculation of a relaxed structure of LaTi2Ga2, from Alexandria via LeMat-Bulk.

Cell and atoms, written as POSCAR:
```
LaTi2Ga2
1.0
7.900 0.000 0.000
0.000 7.900 0.000
0.000 0.000 3.146
La Ti Ga
2 4 4
Cartesian
0.000 0.000 0.000
3.950 3.950 0.000
1.387 2.563 1.573
2.563 6.513 1.573
5.337 1.387 1.573
6.513 5.337 1.573
0.935 4.885 0.000
3.015 0.935 0.000
4.885 6.965 0.000
6.965 3.015 0.000
```

#c
The following is a PBE-GGA calculation of a relaxed structure of LaTi2Ga2, from Alexandria via LeMat-Bulk.

Cell and atoms, written as POSCAR:
```
LaTi2Ga2
1.0
4.547 0.000 0.000
0.000 4.547 0.000
0.000 0.000 10.590
La Ti Ga
2 4 4
Cartesian
0.000 0.000 0.000
2.274 2.274 5.295
0.000 0.000 3.945
0.000 0.000 6.645
2.274 2.274 1.350
2.274 2.274 9.240
0.000 2.274 2.648
0.000 2.274 7.943
2.274 0.000 2.648
2.274 0.000 7.943
```

We find #a to be the most stable, with the next structure 44 meV/atom higher.

#a
The following is a PBE-GGA calculation of a relaxed structure of La2TlGa, from Alexandria via LeMat-Bulk.

Cell and atoms, written as POSCAR:
```
La2TlGa
1.0
8.713 0.000 0.000
0.000 8.713 0.000
0.000 0.000 6.569
La Tl Ga
8 4 4
Cartesian
1.986 2.178 0.821
2.178 6.342 2.463
2.178 6.727 5.748
2.371 2.178 4.105
6.342 6.535 4.105
6.535 1.986 5.748
6.535 2.371 2.463
6.727 6.535 0.821
0.000 0.000 3.284
0.000 4.356 4.927
4.356 0.000 1.642
4.356 4.356 0.000
0.000 0.000 0.000
0.000 4.356 1.642
4.356 0.000 4.927
4.356 4.356 3.284
```

#b
The following is a PBE-GGA calculation of a relaxed structure of La2TlGa, from Alexandria via LeMat-Bulk.

Cell and atoms, written as POSCAR:
```
La2TlGa
1.0
3.822 0.000 0.000
0.000 3.822 0.000
0.000 0.000 7.995
La Tl Ga
2 1 1
Cartesian
0.000 0.000 1.853
0.000 0.000 6.142
1.911 1.911 3.997
1.911 1.911 0.000
```

We find #b to be the most stable, with the next structure 328 meV/atom higher.

#a
The following is a PBE-GGA calculation of a relaxed structure of La2TlGa, from Alexandria via LeMat-Bulk.

Cell and atoms, written as POSCAR:
```
La2TlGa
1.0
3.944 0.000 0.000
-1.972 3.416 0.000
0.000 0.000 28.563
La Tl Ga
6 3 3
Cartesian
0.000 0.000 6.946
0.000 0.000 21.618
0.000 2.277 12.097
0.000 2.277 25.988
1.972 1.139 2.575
1.972 1.139 16.467
0.000 0.000 0.000
0.000 2.277 19.042
1.972 1.139 9.521
0.000 0.000 14.282
0.000 2.277 4.761
1.972 1.139 23.803
```

#b
The following is a PBE-GGA calculation of a relaxed structure of La2TlGa, from Alexandria via LeMat-Bulk.

Cell and atoms, written as POSCAR:
```
La2TlGa
1.0
7.779 0.000 0.000
0.000 7.779 0.000
0.000 0.000 7.779
La Tl Ga
8 4 4
Cartesian
1.945 1.945 1.945
1.945 1.945 5.834
1.945 5.834 1.945
1.945 5.834 5.834
5.834 1.945 1.945
5.834 1.945 5.834
5.834 5.834 1.945
5.834 5.834 5.834
0.000 0.000 0.000
0.000 3.889 3.889
3.889 0.000 3.889
3.889 3.889 0.000
0.000 0.000 3.889
0.000 3.889 0.000
3.889 0.000 0.000
3.889 3.889 3.889
```

We find #b to be the most stable, with the next structure 147 meV/atom higher.

#a
The following is a PBE-GGA calculation of a relaxed structure of LaTl2Ga, from Alexandria via LeMat-Bulk.

Cell and atoms, written as POSCAR:
```
LaTl2Ga
1.0
7.615 0.000 0.000
0.000 7.615 0.000
0.000 0.000 7.615
La Tl Ga
4 8 4
Cartesian
0.000 0.000 0.000
0.000 3.807 3.807
3.807 0.000 3.807
3.807 3.807 0.000
1.904 1.904 1.904
1.904 1.904 5.711
1.904 5.711 1.904
1.904 5.711 5.711
5.711 1.904 1.904
5.711 1.904 5.711
5.711 5.711 1.904
5.711 5.711 5.711
0.000 0.000 3.807
0.000 3.807 0.000
3.807 0.000 0.000
3.807 3.807 3.807
```

#b
The following is a PBE-GGA calculation of a relaxed structure of LaTl2Ga, from Alexandria via LeMat-Bulk.

Cell and atoms, written as POSCAR:
```
LaTl2Ga
1.0
4.714 0.000 0.000
0.000 4.714 0.000
0.000 0.000 4.863
La Tl Ga
1 2 1
Cartesian
0.000 0.000 0.000
0.000 2.357 2.431
2.357 0.000 2.431
2.357 2.357 0.000
```

We find #b to be the most stable, with the next structure 175 meV/atom higher.